1.
First-principles (GGA-PBE) data for a relaxed Hf2ThV crystal, as listed in Alexandria via LeMat-Bulk.

Cell lengths 5.000, 5.000, 5.000 Å; angles 60.00, 60.00, 60.00 degrees
Sites, in units of the cell vectors:
Hf 0.250 0.250 0.250
Hf 0.750 0.750 0.750
Th 0.000 0.000 0.000
V 0.500 0.500 0.500

Summary:
V in A^3/atom: 22.10
Relative energy among the computed polymorphs in meV per atom: 195
Total energy in eV/atom: -8.7644
Space-group type: Fm-3m (225)

=====

2.
First-principles (GGA-PBE) data for a relaxed NdHoGa crystal, as listed in Alexandria via LeMat-Bulk.

Cell lengths 7.075, 7.075, 7.075 Å; angles 151.12, 151.12, 41.30 degrees
Sites, in units of the cell vectors:
Nd 0.000 0.000 0.000
Ho 0.711 0.711 0.000
Ga 0.347 0.347 0.000

Summary:
V in A^3/atom: 27.47
Relative energy among the computed polymorphs in meV per atom: 55
Total energy in eV/atom: -4.4733
Space-group type: I4mm (107)

=====

3.
First-principles (GGA-PBE) data for a relaxed ErMgZr crystal, as listed in Alexandria via LeMat-Bulk.

Cell lengths 3.300, 3.300, 8.173 Å; angles 90.00, 90.00, 120.00 degrees
Sites, in units of the cell vectors:
Er 0.000 0.000 0.000
Mg 0.667 0.333 0.356
Zr 0.333 0.667 0.680

Summary:
V in A^3/atom: 25.69
Relative energy among the computed polymorphs in meV per atom: 65
Total energy in eV/atom: -4.8459
Space-group type: P3m1 (156)

=====

4.
First-principles (GGA-PBE) data for a relaxed Fe4CoIr7 crystal, as listed in Alexandria via LeMat-Bulk.

Cell lengths 2.697, 2.697, 25.725 Å; angles 90.00, 90.00, 120.00 degrees
Sites, in units of the cell vectors:
Fe 0.333 0.667 0.165
Fe 0.333 0.667 0.417
Fe 0.667 0.333 0.583
Fe 0.667 0.333 0.835
Co 0.000 0.000 0.000
Ir 0.000 0.000 0.246
Ir 0.000 0.000 0.500
Ir 0.000 0.000 0.754
Ir 0.333 0.667 0.664
Ir 0.333 0.667 0.918
Ir 0.667 0.333 0.082
Ir 0.667 0.333 0.336

Summary:
V in A^3/atom: 13.51
Total energy in eV/atom: -8.5992
Space-group type: P-3m1 (164)

=====

5.
First-principles (GGA-PBE) data for a relaxed LiRe2Sb crystal, as listed in Alexandria via LeMat-Bulk.

Cell lengths 8.928, 8.928, 8.928 Å; angles 19.20, 19.20, 19.20 degrees
Sites, in units of the cell vectors:
Li 0.000 0.000 0.000
Re 0.247 0.247 0.247
Re 0.753 0.753 0.753
Sb 0.500 0.500 0.500

Summary:
V in A^3/atom: 16.82
Total energy in eV/atom: -6.9619
Space-group type: R-3m (166)

=====

6.
First-principles (GGA-PBE) data for a relaxed TbNpHN2 crystal, as listed in Alexandria via LeMat-Bulk.

Cell lengths 3.437, 3.437, 10.767 Å; angles 90.00, 90.00, 90.00 degrees
Sites, in units of the cell vectors:
Tb 0.250 0.250 0.139
Tb 0.750 0.750 0.861
Np 0.250 0.250 0.613
Np 0.750 0.750 0.387
H 0.250 0.750 0.000
H 0.750 0.250 0.000
N 0.250 0.250 0.385
N 0.250 0.250 0.801
N 0.750 0.750 0.199
N 0.750 0.750 0.615

Summary:
V in A^3/atom: 12.72
Total energy in eV/atom: -8.6822
Space-group type: P4/nmm (129)

=====

7.
First-principles (GGA-PBE) data for a relaxed PuHgGe crystal, as listed in Alexandria via LeMat-Bulk.

Cell lengths 4.782, 4.782, 4.782 Å; angles 60.00, 60.00, 60.00 degrees
Sites, in units of the cell vectors:
Pu 0.000 0.000 0.000
Hg 0.500 0.500 0.500
Ge 0.750 0.750 0.750

Summary:
V in A^3/atom: 25.78
Total energy in eV/atom: -6.5411
Space-group type: F-43m (216)

=====

8.
First-principles (GGA-PBE) data for a relaxed NdSn3Hg3 crystal, as listed in Alexandria via LeMat-Bulk.

Cell lengths 7.841, 7.841, 7.841 Å; angles 90.00, 90.00, 90.00 degrees
Sites, in units of the cell vectors:
Nd 0.000 0.000 0.000
Nd 0.500 0.500 0.500
Sn 0.000 0.250 0.500
Sn 0.000 0.750 0.500
Sn 0.250 0.500 0.000
Sn 0.500 0.000 0.250
Sn 0.500 0.000 0.750
Sn 0.750 0.500 0.000
Hg 0.000 0.500 0.250
Hg 0.000 0.500 0.750
Hg 0.250 0.000 0.500
Hg 0.500 0.250 0.000
Hg 0.500 0.750 0.000
Hg 0.750 0.000 0.500

Summary:
V in A^3/atom: 34.43
Total energy in eV/atom: -2.2099
Space-group type: Pm-3n (223)

=====

9.
First-principles (GGA-PBE) data for a relaxed Sr2TmAu2O6 crystal, as listed in Alexandria via LeMat-Bulk.

Cell lengths 6.791, 6.791, 6.791 Å; angles 54.76, 54.76, 54.76 degrees
Sites, in units of the cell vectors:
Sr 0.205 0.205 0.205
Sr 0.795 0.795 0.795
Tm 0.000 0.000 0.000
Au 0.414 0.414 0.414
Au 0.586 0.586 0.586
O 0.198 0.765 0.765
O 0.235 0.235 0.802
O 0.235 0.802 0.235
O 0.765 0.198 0.765
O 0.765 0.765 0.198
O 0.802 0.235 0.235

Summary:
V in A^3/atom: 17.67
Total energy in eV/atom: -5.5675
Space-group type: R-3m (166)

=====

10.
First-principles (GGA-PBE) data for a relaxed PmScSbSe crystal, as listed in Alexandria via LeMat-Bulk.

Cell lengths 7.672, 7.672, 7.672 Å; angles 30.87, 30.87, 30.87 degrees
Sites, in units of the cell vectors:
Pm 0.000 0.000 0.000
Sc 0.166 0.166 0.166
Sb 0.574 0.574 0.574
Se 0.757 0.757 0.757

Summary:
V in A^3/atom: 26.37
Total energy in eV/atom: -5.9774
Space-group type: R3m (160)

=====

11.
First-principles (GGA-PBE) data for a relaxed FeTcSe2 crystal, as listed in Alexandria via LeMat-Bulk.

Cell lengths 3.103, 3.103, 6.215 Å; angles 90.00, 90.00, 90.00 degrees
Sites, in units of the cell vectors:
Fe 0.000 0.000 0.000
Tc 0.000 0.000 0.500
Se 0.500 0.500 0.248
Se 0.500 0.500 0.752

Summary:
V in A^3/atom: 14.96
Relative energy among the computed polymorphs in meV per atom: 410
Total energy in eV/atom: -6.2734
Space-group type: P4/mmm (123)

=====

12.
First-principles (GGA-PBE) data for a relaxed La2CeSm6Dy3 crystal, as listed in Alexandria via LeMat-Bulk.

Cell lengths 6.274, 6.274, 12.004 Å; angles 95.03, 95.03, 120.05 degrees
Sites, in units of the cell vectors:
La 0.166 0.834 0.000
La 0.834 0.166 0.000
Ce 0.500 0.500 0.000
Sm 0.086 0.416 0.747
Sm 0.254 0.254 0.254
Sm 0.416 0.086 0.747
Sm 0.584 0.914 0.253
Sm 0.746 0.746 0.746
Sm 0.914 0.584 0.253
Dy 0.000 0.000 0.500
Dy 0.333 0.667 0.500
Dy 0.667 0.333 0.500

Summary:
V in A^3/atom: 33.56
Total energy in eV/atom: -4.7841
Space-group type: C2/m (12)

=====

13.
First-principles (GGA-PBE) data for a relaxed BaLi2Au9 crystal, as listed in Alexandria via LeMat-Bulk.

Cell lengths 9.820, 9.820, 9.820 Å; angles 33.47, 33.47, 33.47 degrees
Sites, in units of the cell vectors:
Ba 0.000 0.000 0.000
Li 0.155 0.155 0.155
Li 0.845 0.845 0.845
Au 0.082 0.589 0.589
Au 0.333 0.333 0.333
Au 0.411 0.411 0.918
Au 0.411 0.918 0.411
Au 0.500 0.500 0.500
Au 0.589 0.082 0.589
Au 0.589 0.589 0.082
Au 0.667 0.667 0.667
Au 0.918 0.411 0.411

Summary:
V in A^3/atom: 21.37
Total energy in eV/atom: -3.3127
Space-group type: R-3m (166)

=====

14.
First-principles (GGA-PBE) data for a relaxed Ca2ZnHgRh crystal, as listed in Alexandria via LeMat-Bulk.

Cell lengths 5.725, 5.725, 4.973 Å; angles 90.00, 90.00, 90.00 degrees
Sites, in units of the cell vectors:
Ca 0.000 0.500 0.000
Ca 0.500 0.000 0.000
Zn 0.000 0.000 0.500
Hg 0.500 0.500 0.000
Rh 0.500 0.500 0.500

Summary:
V in A^3/atom: 32.59
Relative energy among the computed polymorphs in meV per atom: 627
Total energy in eV/atom: -2.2197
Space-group type: P4/mmm (123)

=====

15.
First-principles (GGA-PBE) data for a relaxed TlBi2PdPb crystal, as listed in Alexandria via LeMat-Bulk.

Cell lengths 4.244, 4.244, 16.095 Å; angles 90.00, 90.00, 90.00 degrees
Sites, in units of the cell vectors:
Tl 0.250 0.750 0.000
Tl 0.750 0.250 0.000
Bi 0.250 0.250 0.262
Bi 0.250 0.250 0.604
Bi 0.750 0.750 0.396
Bi 0.750 0.750 0.738
Pd 0.250 0.250 0.434
Pd 0.750 0.750 0.566
Pb 0.250 0.250 0.820
Pb 0.750 0.750 0.180

Summary:
V in A^3/atom: 29.00
Total energy in eV/atom: -3.7851
Space-group type: P4/nmm (129)

=====

16.
First-principles (GGA-PBE) data for a relaxed NdVMo crystal, as listed in Alexandria via LeMat-Bulk.

Cell lengths 4.435, 4.435, 7.823 Å; angles 90.00, 90.00, 120.00 degrees
Sites, in units of the cell vectors:
Nd 0.333 0.667 0.155
Nd 0.667 0.333 0.845
V 0.000 0.000 0.360
V 0.000 0.000 0.640
Mo 0.333 0.667 0.559
Mo 0.667 0.333 0.441

Summary:
V in A^3/atom: 22.21
Total energy in eV/atom: -7.9318
Space-group type: P-3m1 (164)

=====

17.
First-principles (GGA-PBE) data for a relaxed TmAlAu crystal, as listed in Alexandria via LeMat-Bulk.

Cell lengths 7.115, 4.227, 12.288 Å; angles 90.00, 90.17, 90.00 degrees
Sites, in units of the cell vectors:
Tm 0.010 0.250 0.375
Tm 0.147 0.250 0.083
Tm 0.487 0.750 0.704
Tm 0.513 0.250 0.296
Tm 0.853 0.750 0.917
Tm 0.990 0.750 0.625
Al 0.155 0.250 0.795
Al 0.340 0.750 0.458
Al 0.487 0.750 0.089
Al 0.513 0.250 0.911
Al 0.660 0.250 0.542
Al 0.845 0.750 0.205
Au 0.222 0.750 0.249
Au 0.273 0.750 0.912
Au 0.277 0.250 0.575
Au 0.723 0.750 0.425
Au 0.727 0.250 0.088
Au 0.778 0.250 0.751

Summary:
V in A^3/atom: 20.53
Total energy in eV/atom: -4.6135
Space-group type: P2_1/m (11)

=====

18.
First-principles (GGA-PBE) data for a relaxed SrMnAl2 crystal, as listed in Alexandria via LeMat-Bulk.

Cell lengths 3.303, 3.303, 7.577 Å; angles 90.00, 90.00, 90.00 degrees
Sites, in units of the cell vectors:
Sr 0.000 0.000 0.000
Mn 0.000 0.000 0.500
Al 0.500 0.500 0.324
Al 0.500 0.500 0.676

Summary:
V in A^3/atom: 20.67
Total energy in eV/atom: -4.6079
Space-group type: P4/mmm (123)

=====

19.
First-principles (GGA-PBE) data for a relaxed Ce2SNO crystal, as listed in Alexandria via LeMat-Bulk.

Cell lengths 3.934, 3.934, 6.762 Å; angles 90.00, 90.00, 120.00 degrees
Sites, in units of the cell vectors:
Ce 0.000 0.000 0.000
Ce 0.333 0.667 0.431
S 0.667 0.333 0.713
N 0.333 0.667 0.092
O 0.000 0.000 0.352

Summary:
V in A^3/atom: 18.13
Total energy in eV/atom: -8.2644
Space-group type: P3m1 (156)

=====

20.
First-principles (GGA-PBE) data for a relaxed CuP2HO crystal, as listed in Alexandria via LeMat-Bulk.

Cell lengths 3.467, 3.467, 4.381 Å; angles 90.00, 90.00, 90.00 degrees
Sites, in units of the cell vectors:
Cu 0.000 0.000 0.000
P 0.000 0.500 0.500
P 0.500 0.000 0.500
H 0.500 0.500 0.500
O 0.500 0.500 0.000

Summary:
V in A^3/atom: 10.53
Relative energy among the computed polymorphs in meV per atom: 0
Total energy in eV/atom: -3.9509
Space-group type: P4/mmm (123)